First-principles (PBE) data for a relaxed Fe3Pb crystal, as listed in the Alexandria database.

The space group is R-3m (No. 166, hexagonal axes) and the conventional cell measures 3.0355, 3.0355 and 24.7437 Å, with angles of 90.00, 90.00 and 120.00 degrees. The inequivalent atoms are Fe at (0.0000, 0.0000, 0.0000), Fe at (0.0000, 0.0000, 0.2624) and Pb at (0.0000, 0.0000, 0.5000).

The calculated total energy is -6.6608 eV/atom. As for the formation energy: 237 kJ/mol of formula units. The volume comes out at 197 Å³ per cell.